Below is a PBEsol-optimized structure of In3HgI, with properties calculated at the SCAN level.

Computed properties:
Formation energy from raw total energies: 0.03 eV/atom

Cell: 5.521 5.521 5.521 Å, 90.00 90.00 90.00°
Space group Pm-3m (No. 221)
Inequivalent atoms, fractional coordinates:
In  0.000  0.000  0.500 (multiplicity 3)
Hg  0.000  0.000  0.000 (multiplicity 1)
I  0.500  0.500  0.500 (multiplicity 1)

Below is a PBEsol-optimized structure of ScBiAsSe2, with properties calculated at the SCAN level.

Computed properties:
Formation energy from raw total energies: 0.40 eV/atom

Cell: 5.326 5.326 5.252 Å, 90.00 90.00 90.00°
Space group P4/mmm (No. 123)
Inequivalent atoms, fractional coordinates:
Sc  0.000  0.000  0.000 (multiplicity 1)
Bi  0.500  0.500  0.500 (multiplicity 1)
As  0.500  0.500  0.000 (multiplicity 1)
Se  0.000  0.500  0.500 (multiplicity 2)

Below is a PBEsol-optimized structure of La2HgP, with properties calculated at the SCAN level.

Computed properties:
Formation enthalpy at 0 K: -1.0518 eV per atom
Offset from the most stable computed form: 124 meV per atom

Cell: 3.740 3.740 7.211 Å, 90.00 90.19 90.00°
Space group P2/m (No. 10)
Inequivalent atoms, fractional coordinates:
La  0.003  0.000  0.281 (multiplicity 2)
Hg  0.500  0.500  0.000 (multiplicity 1)
P  0.500  0.500  0.500 (multiplicity 1)

Below is a PBEsol-optimized structure of OsRh2Br, with properties calculated at the SCAN level.

Computed properties:
Offset from the most stable computed form: 83 meV per atom
Formation energy from raw total energies: 0.56 eV/atom

Cell: 2.8146 2.8146 26.0714 Å, 90.00 90.00 120.00°
Space group R-3m (No. 166, hexagonal axes)
Inequivalent atoms, fractional coordinates:
Os  0.0000  0.0000  0.0000 (multiplicity 3)
Rh  0.0000  0.0000  0.2534 (multiplicity 6)
Br  0.0000  0.0000  0.5000 (multiplicity 3)

Below is a PBEsol-optimized structure of LiSi2Au, with properties calculated at the SCAN level.

Computed properties:
Offset from the most stable computed form: 0 meV per atom
Formation energy from raw total energies: -0.05 eV/atom

Cell: 3.256 3.451 5.166 Å, 90.00 90.00 90.00°
Space group Pmm2 (No. 25)
Inequivalent atoms, fractional coordinates:
Li  0.000  0.000  0.000 (multiplicity 1)
Si  0.000  0.000  0.481 (multiplicity 1)
Si  0.500  0.500  0.271 (multiplicity 1)
Au  0.500  0.500  0.781 (multiplicity 1)

Below is a PBEsol-optimized structure of CuReNi2, with properties calculated at the SCAN level.

Computed properties:
Formation enthalpy at 0 K: 0.0264 eV per atom
Offset from the most stable computed form: 0 meV per atom

Cell: 2.596 2.596 6.926 Å, 90.00 90.00 90.00°
Space group P4/mmm (No. 123)
Inequivalent atoms, fractional coordinates:
Cu  0.000  0.000  0.000 (multiplicity 1)
Re  0.000  0.000  0.500 (multiplicity 1)
Ni  0.500  0.500  0.242 (multiplicity 2)

Below is a PBEsol-optimized structure of LiZr2Al, with properties calculated at the SCAN level.

Computed properties:
Formation enthalpy at 0 K: -0.0802 eV per atom

Cell: 4.355 3.113 11.241 Å, 90.00 90.00 90.00°
Space group Amm2 (No. 38)
Inequivalent atoms, fractional coordinates:
Li  0.000  0.000  0.000 (multiplicity 2)
Zr  0.000  0.000  0.737 (multiplicity 2)
Zr  0.500  0.000  0.388 (multiplicity 2)
Al  0.500  0.000  0.126 (multiplicity 2)

Below is a PBEsol-optimized structure of RbSnTeN2, with properties calculated at the SCAN level.

Computed properties:
Formation energy from raw total energies: 1.79 eV/atom

Cell: 4.928 4.928 6.839 Å, 90.00 90.00 90.00°
Space group P4/mmm (No. 123)
Inequivalent atoms, fractional coordinates:
Rb  0.000  0.000  0.000 (multiplicity 1)
Sn  0.500  0.500  0.500 (multiplicity 1)
Te  0.000  0.000  0.500 (multiplicity 1)
N  0.000  0.500  0.000 (multiplicity 2)

Below is a PBEsol-optimized structure of TiInTc3, with properties calculated at the SCAN level.

Computed properties:
Formation enthalpy at 0 K: 1.1815 eV per atom

Cell: 4.489 4.489 4.489 Å, 90.00 90.00 90.00°
Space group Pm-3m (No. 221)
Inequivalent atoms, fractional coordinates:
Ti  0.000  0.000  0.000 (multiplicity 1)
In  0.500  0.500  0.500 (multiplicity 1)
Tc  0.000  0.000  0.500 (multiplicity 3)

Below is a PBEsol-optimized structure of Zn3BRh, with properties calculated at the SCAN level.

Computed properties:
Formation enthalpy at 0 K: 0.3400 eV per atom

Cell: 4.004 4.004 4.004 Å, 90.00 90.00 90.00°
Space group Pm-3m (No. 221)
Inequivalent atoms, fractional coordinates:
Zn  0.000  0.000  0.500 (multiplicity 3)
B  0.000  0.000  0.000 (multiplicity 1)
Rh  0.500  0.500  0.500 (multiplicity 1)

Below is a PBEsol-optimized structure of ScAlRu, with properties calculated at the SCAN level.

Computed properties:
Formation enthalpy at 0 K: -0.7769 eV per atom

Cell: 3.183 3.183 9.487 Å, 90.00 90.00 90.00°
Space group I4mm (No. 107)
Inequivalent atoms, fractional coordinates:
Sc  0.000  0.000  0.000 (multiplicity 2)
Al  0.000  0.000  0.298 (multiplicity 2)
Ru  0.000  0.000  0.665 (multiplicity 2)

Below is a PBEsol-optimized structure of ZrHgPb2, with properties calculated at the SCAN level.

Computed properties:
Formation enthalpy at 0 K: -0.0855 eV per atom

Cell: 3.971 3.971 6.154 Å, 90.00 90.00 90.00°
Space group P4mm (No. 99)
Inequivalent atoms, fractional coordinates:
Zr  0.000  0.000  0.000 (multiplicity 1)
Hg  0.500  0.500  0.271 (multiplicity 1)
Pb  0.000  0.000  0.498 (multiplicity 1)
Pb  0.500  0.500  0.798 (multiplicity 1)

Short version: size of the total moment = 0.000 0.000 0.000 0.000 0.000 0.000 0.000 1.000 0.474 0.000 0.000 0.000 μB per atom, in the order given.
Short version: energy = -40.9815 -30.2353 -42.2455 -39.1636 -22.9467 -29.6344 -17.9650 -20.7075 -29.7377 -16.0094 -19.7153 -62.6922 eV/atom, in the order given.